## Zr3In (PBE-GGA)

Data for an optimized crystal structure of Zr3In.

## Properties
- Formation energy: -0.20 eV/atom
- Volume: 91 Å³/f.u.
- Crystal system: orthorhombic
- Uncorrected energy: -7.30 eV per atom

Cell and atoms, written as CIF:
```
data_Zr3In
_chemical_formula_sum 'Zr6 In2'
_space_group_name_H-M_alt 'P m m n'
_space_group_IT_number 59
_cell_length_a 5.228
_cell_length_b 6.149
_cell_length_c 5.651
_cell_angle_alpha 90.00
_cell_angle_beta 90.00
_cell_angle_gamma 90.00
loop_
_space_group_symop_operation_xyz
'x,y,z'
'-x,-y,-z'
'-x+1/2,-y+1/2,z'
'x+1/2,y+1/2,-z'
'x+1/2,-y,-z'
'-x+1/2,y,z'
'-x,y+1/2,-z'
'x,-y+1/2,z'
loop_
_atom_site_label
_atom_site_type_symbol
_atom_site_fract_x
_atom_site_fract_y
_atom_site_fract_z
Zr1 Zr 0.250 0.001 0.153
Zr2 Zr 0.250 0.250 0.647
In1 In 0.250 0.750 0.663
```


## SiHgAu4 (PBE-GGA)

Data for an optimized crystal structure of SiHgAu4.

## Properties
- Formation energy from raw total energies: 0.26 eV/f.u.
- Relative energy among the computed polymorphs: 0 meV per atom
- Volume: 128 Å³/f.u.
- Crystal system: monoclinic
- Uncorrected energy: -3.09 eV per atom

Cell and atoms, written as CIF:
```
data_SiHgAu4
_chemical_formula_sum 'Si4 Hg4 Au16'
_space_group_name_H-M_alt 'P 1 21/c 1'
_space_group_IT_number 14
_cell_length_a 9.759
_cell_length_b 5.591
_cell_length_c 9.391
_cell_angle_alpha 90.00
_cell_angle_beta 93.51
_cell_angle_gamma 90.00
loop_
_space_group_symop_operation_xyz
'x,y,z'
'-x,-y,-z'
'-x,y+1/2,-z+1/2'
'x,-y+1/2,z+1/2'
loop_
_atom_site_label
_atom_site_type_symbol
_atom_site_fract_x
_atom_site_fract_y
_atom_site_fract_z
Si1 Si 0.224 0.211 0.271
Hg1 Hg 0.406 0.732 0.492
Au1 Au 0.020 0.541 0.725
Au2 Au 0.135 0.221 0.512
Au3 Au 0.250 0.642 0.228
Au4 Au 0.451 0.049 0.254
```


## CrCo4Ir (PBE-GGA)

Data for an optimized crystal structure of CrCo4Ir.

## Properties
- Formation energy: 0.10 eV/atom
- Volume: 72 Å³/f.u.
- Crystal system: cubic
- Uncorrected energy: -7.72 eV per atom

Cell and atoms, written as CIF:
```
data_CrCo4Ir
_chemical_formula_sum 'Cr4 Co16 Ir4'
_space_group_name_H-M_alt 'F -4 3 m'
_space_group_IT_number 216
_space_group_name_Hall 'F -4 2 3'
_cell_length_a 6.601
_cell_length_b 6.601
_cell_length_c 6.601
_cell_angle_alpha 90.00
_cell_angle_beta 90.00
_cell_angle_gamma 90.00
loop_
_atom_site_label
_atom_site_type_symbol
_atom_site_fract_x
_atom_site_fract_y
_atom_site_fract_z
Cr1 Cr 0.000 0.000 0.000
Co1 Co 0.125 0.125 0.375
Ir1 Ir 0.250 0.250 0.750
```


## H5Pd12Pb3 (PBE-GGA)

Data for an optimized crystal structure of H5Pd12Pb3.

## Properties
- Volume: 288 Å³/f.u.
- Crystal system: cubic
- Uncorrected energy: -4.62 eV per atom

Cell and atoms, written as CIF:
```
data_H5Pd12Pb3
_chemical_formula_sum 'H40 Pd96 Pb24'
_space_group_name_H-M_alt 'I a -3 d'
_space_group_IT_number 230
_space_group_name_Hall '-I 4bd 2c 3'
_cell_length_a 13.206
_cell_length_b 13.206
_cell_length_c 13.206
_cell_angle_alpha 90.00
_cell_angle_beta 90.00
_cell_angle_gamma 90.00
loop_
_atom_site_label
_atom_site_type_symbol
_atom_site_fract_x
_atom_site_fract_y
_atom_site_fract_z
H1 H 0.000 0.000 0.000
H2 H 0.000 0.250 0.375
Pd1 Pd 0.045 0.143 0.953
Pb1 Pb 0.000 0.250 0.125
```


## Ga2I3 (PBE-GGA)

Data for an optimized crystal structure of Ga2I3.

## Properties
- Formation energy from raw total energies: -1.53 eV/f.u.
- Relative energy among the computed polymorphs: 123 meV per atom
- Volume: 181 Å³/f.u.
- Crystal system: trigonal
- Uncorrected energy: -2.45 eV per atom

Cell and atoms, written as CIF:
```
data_Ga2I3
_chemical_formula_sum 'Ga12 I18'
_space_group_name_H-M_alt 'R -3 c'
_space_group_IT_number 167
_space_group_name_Hall '-R 3 2"c'
_cell_length_a 7.5382
_cell_length_b 7.5382
_cell_length_c 22.0211
_cell_angle_alpha 90.00
_cell_angle_beta 90.00
_cell_angle_gamma 120.00
loop_
_atom_site_label
_atom_site_type_symbol
_atom_site_fract_x
_atom_site_fract_y
_atom_site_fract_z
Ga1 Ga 0.0000 0.0000 0.1625
I1 I 0.0000 0.3284 0.2500
```


## Sc2AlGa2Ni5 (PBE-GGA)

Data for an optimized crystal structure of Sc2AlGa2Ni5.

## Properties
- Formation energy: -0.45 eV/atom
- Volume: 143 Å³/f.u.
- Crystal system: tetragonal
- Uncorrected energy: -5.58 eV per atom

Cell and atoms, written as CIF:
```
data_Sc2AlGa2Ni5
_chemical_formula_sum 'Sc4 Al2 Ga4 Ni10'
_space_group_name_H-M_alt 'P 4/m b m'
_space_group_IT_number 127
_space_group_name_Hall '-P 4 2ab'
_cell_length_a 9.133
_cell_length_b 9.133
_cell_length_c 3.423
_cell_angle_alpha 90.00
_cell_angle_beta 90.00
_cell_angle_gamma 90.00
loop_
_atom_site_label
_atom_site_type_symbol
_atom_site_fract_x
_atom_site_fract_y
_atom_site_fract_z
Sc1 Sc 0.174 0.326 0.000
Al1 Al 0.000 0.000 0.000
Ga1 Ga 0.125 0.625 0.000
Ni1 Ni 0.000 0.500 0.500
Ni2 Ni 0.059 0.799 0.500
```


## Y6SnO12 (PBE-GGA)

Data for an optimized crystal structure of Y6SnO12.

## Properties
- Formation energy from raw total energies: -57.22 eV/f.u.
- Volume: 268 Å³/f.u.
- Crystal system: trigonal
- Uncorrected energy: -8.39 eV per atom

Cell and atoms, written as CIF:
```
data_Y6SnO12
_chemical_formula_sum 'Y18 Sn3 O36'
_space_group_name_H-M_alt 'R -3'
_space_group_IT_number 148
_space_group_name_Hall '-R 3'
_cell_length_a 9.9578
_cell_length_b 9.9578
_cell_length_c 9.3692
_cell_angle_alpha 90.00
_cell_angle_beta 90.00
_cell_angle_gamma 120.00
loop_
_atom_site_label
_atom_site_type_symbol
_atom_site_fract_x
_atom_site_fract_y
_atom_site_fract_z
Y1 Y 0.0518 0.7905 0.1533
Sn1 Sn 0.0000 0.0000 0.5000
O1 O 0.0390 0.8172 0.9001
O2 O 0.0412 0.8392 0.3914
```


## Co2RhW (PBE-GGA)

Data for an optimized crystal structure of Co2RhW.

## Properties
- Formation energy: 0.05 eV/atom
- Relative energy among the computed polymorphs: 123 meV per atom
- Volume: 52 Å³/f.u.
- Crystal system: monoclinic
- Uncorrected energy: -8.58 eV per atom

Cell and atoms, written as CIF:
```
data_Co2RhW
_chemical_formula_sum 'Co4 Rh2 W2'
_space_group_name_H-M_alt 'C 1 m 1'
_space_group_IT_number 8
_cell_length_a 8.729
_cell_length_b 2.694
_cell_length_c 4.494
_cell_angle_alpha 90.00
_cell_angle_beta 101.05
_cell_angle_gamma 90.00
loop_
_space_group_symop_operation_xyz
'x,y,z'
'x,-y,z'
'x+1/2,y+1/2,z'
'x+1/2,-y+1/2,z'
loop_
_atom_site_label
_atom_site_type_symbol
_atom_site_fract_x
_atom_site_fract_y
_atom_site_fract_z
Co1 Co 0.000 0.000 0.000
Co2 Co 0.240 0.500 0.223
Rh1 Rh 0.491 0.000 0.480
W1 W 0.248 0.000 0.744
```